Record 1
Below is an optimized crystal structure of K2NaSr2, with properties calculated at the PBE level.

Properties
Space group: I4/mmm, No. 139

Lattice parameters (Å, degrees): 5.460 5.460 11.515 76.29 76.29 90.00
Element x y z (fractional)
Sr 0.750 0.250 0.500
Sr 0.250 0.750 0.500
K 0.408 0.408 0.184
K 0.592 0.592 0.816
Na 0.000 0.000 0.000

Record 2
Below is an optimized crystal structure of K2Na16Sr, with properties calculated at the PBE level.

Properties
Space group: R3m, No. 160

Lattice parameters (Å, degrees): 9.413 9.413 9.413 81.92 81.92 81.92
Element x y z (fractional)
K 0.659 0.659 0.659
K 0.338 0.338 0.338
Na 0.701 0.000 0.298
Na 0.000 0.298 0.701
Na 0.298 0.701 0.000
Na 0.000 0.701 0.298
Na 0.701 0.298 0.000
Na 0.298 0.000 0.701
Na 0.350 0.847 0.350
Na 0.847 0.350 0.350
Na 0.350 0.350 0.847
Na 0.647 0.155 0.647
Na 0.155 0.647 0.647
Na 0.647 0.647 0.155
Na 0.003 0.489 0.003
Na 0.489 0.003 0.003
Na 0.003 0.003 0.489
Na 0.107 0.107 0.107
Sr 0.905 0.905 0.905

Record 3
Below is an optimized crystal structure of K2Na15Sr2, with properties calculated at the PBE level.

Properties
Space group: R-3m, No. 166

Lattice parameters (Å, degrees): 9.500 9.500 9.500 82.24 82.24 82.24
Element x y z (fractional)
K 0.346 0.346 0.346
K 0.654 0.654 0.654
Na 0.500 0.000 0.000
Na 0.000 0.000 0.500
Na 0.000 0.500 0.000
Na 0.000 0.707 0.293
Na 0.707 0.293 0.000
Na 0.293 0.000 0.707
Na 0.293 0.707 0.000
Na 0.707 0.000 0.293
Na 0.000 0.293 0.707
Na 0.155 0.645 0.645
Na 0.645 0.645 0.155
Na 0.645 0.155 0.645
Na 0.845 0.355 0.355
Na 0.355 0.355 0.845
Na 0.355 0.845 0.355
Sr 0.106 0.106 0.106
Sr 0.894 0.894 0.894

no.,DOS at the Fermi energy (states/eV/cell),energy of formation (eV per atom)
1,5.4,0.242
2,10.1,0.028
3,10.2,0.036